{"formula": "WAu", "functional": "PBE-GGA", "state": "relaxed", "mass_density_kg_m3": 16936, "crystal_system": "orthorhombic", "e_above_lowest_polymorph_mev_per_atom": 298, "formation_energy_kcal_per_mol_atoms": 12.62, "lattice_angstrom": [[-5.9957, 3.6940, 8.8172], [-2.5959, 0.0157, -1.7718], [-1.1903, -5.9685, 1.6911]], "species": ["Au", "Au", "W", "Au", "W", "Au", "W", "Au", "W", "W", "W", "Au"], "frac_coords": [[0.1806, 0.0000, 0.1678], [0.3194, 0.5000, 0.6678], [0.6146, 0.5000, 0.1525], [0.5000, 0.0000, 0.4605], [0.0000, 0.5000, 0.4008], [0.8194, 0.0000, 0.1678], [0.1146, 0.0000, 0.6525], [0.0000, 0.5000, 0.9605], [0.5000, 0.0000, 0.9008], [0.8854, 0.0000, 0.6525], [0.3854, 0.5000, 0.1525], [0.6806, 0.5000, 0.6678]]}